TaTl2Ru | PBE | optimized geometry

Cell: 3.174 3.174 8.781 Å, 90.00 90.00 90.00°
Fractional positions:
Ta 0.000 0.000 0.000
Tl 0.000 0.000 0.594
Tl 0.500 0.500 0.264
Ru 0.500 0.500 0.850

## Properties
* energy of formation from the pure elements: 21 kJ per mole of atoms
* distance to the lowest polymorph of the same formula: 20 meV/atom
* density of states at the Fermi level: 0.849 states/eV/atom
* symmetry: No. 99
* final energy: -6.246 eV per atom